A geometry-optimized NaCa2MnSb structure, computed with GGA-PBE.

Cell lengths 5.4768, 5.2204, 5.4768 Å; angles 90.00, 90.00, 90.00 degrees
Site moments in Bohr magnetons follow the coordinates.
Fractional positions:
Ca: 0.5000 0.0000 0.0000  -0.05
Ca: 0.0000 0.0000 0.5000  -0.10
Sb: 0.5000 0.5000 0.5000  0.07
Na: 0.0000 0.5000 0.0000  0.00
Mn: 0.0000 0.0000 0.0000  3.32

Output
VASP energy: -3.348 eV/atom
crystal system: tetragonal
raw formation energy: 0.375 eV per atom
space group: P4/mmm (123)
DOS at the Fermi energy: 6.3 states/eV/f.u.



A geometry-optimized NaCaMn2Tc structure, computed with GGA-PBE.

Cell lengths 4.7860, 5.5085, 4.7860 Å; angles 90.00, 90.00, 90.00 degrees
Site moments in Bohr magnetons follow the coordinates.
Fractional positions:
Na: 0.5000 0.5000 0.5000  -0.01
Mn: 0.0000 0.0000 0.5000  3.34
Mn: 0.5000 0.0000 0.0000  3.61
Tc: 0.0000 0.0000 0.0000  -0.53
Ca: 0.0000 0.5000 0.0000  0.00

Output
VASP energy: -5.613 eV/atom
ΔH_f (0 K): 792.0 meV/atom
crystal system: tetragonal
space group: P4/mmm (123)
DOS at the Fermi energy: 4.2 states/eV/f.u.